No. 1
DFT (GGA-PBE) results for a relaxed structure of Mg2Si.

Values from the calculation:
As for the uncorrected formation energy: -0.02 eV/atom. The total DFT energy (no corrections) is -2.8901 eV/atom.

Unit cell a=5.2371 b=5.3895 c=8.5078 alpha=90.00 beta=100.99 gamma=90.00
Last column: nearest neighbours and their distance in Å.
Space group P2_1 (No. 4)
One atom of each set of equivalent atoms:
Mg: 0.0141 0.0000 0.0974 [2 per cell]  2 Si 2.81-2.84, 3 Mg 3.07-3.13
Mg: 0.0676 0.4850 0.2891 [2 per cell]  3 Si 2.76-2.95, 1 Mg 3.07
Mg: 0.3422 0.9899 0.4867 [2 per cell]  5 Si 2.76-2.97
Mg: 0.4850 0.1929 0.8814 [2 per cell]  4 Si 2.72-2.89
Si: 0.1862 0.4361 0.6174 [2 per cell]  1 Si 2.45
Si: 0.4927 0.7091 0.7907 [2 per cell]  1 Si 2.45, 1 Mg 2.72

---

No. 2
DFT (GGA-PBE) results for a relaxed structure of RbCa6.

Values from the calculation:
The total DFT energy (no corrections) is -1.0682 eV/atom. Its formation energy is 0.786 eV/atom.

Unit cell a=10.1487 b=10.1487 c=10.1487 alpha=90.00 beta=90.00 gamma=90.00
Last column: nearest neighbours and their distance in Å.
Space group Im-3m (No. 229)
One atom of each set of equivalent atoms:
Rb: 0.0000 0.0000 0.0000 [2 per cell]  24 Ca 5.67
Ca: 0.0000 0.2500 0.5000 [12 per cell]  4 Ca 3.59

---

No. 3
DFT (GGA-PBE) results for a relaxed structure of HoEr2Tm2Mg.

Values from the calculation:
The total DFT energy (no corrections) is -3.5483 eV/atom. Its formation energy is 0.492 eV/atom.

Unit cell a=10.1516 b=11.5894 c=3.5819 alpha=90.00 beta=90.00 gamma=90.00
Last column: nearest neighbours and their distance in Å.
Space group Pnnm (No. 58)
One atom of each set of equivalent atoms:
Ho: 0.0000 0.0000 0.0000 [2 per cell]  4 Tm 3.22, 4 Er 3.28, 2 Ho 3.58
Er: 0.0936 0.2228 0.5000 [4 per cell]  2 Ho 3.28, 1 Mg 3.35, 2 Tm 3.36, 2 Er 3.58
Tm: 0.2493 0.9263 0.5000 [4 per cell]  2 Ho 3.22, 2 Mg 3.23, 2 Er 3.36, 2 Tm 3.58
Mg: 0.0000 0.5000 0.5000 [2 per cell]  4 Tm 3.23, 2 Er 3.35, 2 Mg 3.58

---

No. 4
DFT (GGA-PBE) results for a relaxed structure of K2NaSrPd.

Values from the calculation:
The total DFT energy (no corrections) is -2.0810 eV/atom. Its formation energy is -0.003 eV/atom.

Unit cell a=6.4099 b=6.4099 c=5.9155 alpha=90.00 beta=90.00 gamma=90.00
Last column: nearest neighbours and their distance in Å.
Space group P4/mmm (No. 123)
One atom of each set of equivalent atoms:
K: 0.0000 0.5000 0.0000 [2 per cell]  2 Pd 3.20
Na: 0.0000 0.0000 0.5000 [1 per cell]  8 K 4.36, 4 Sr 4.53
Sr: 0.5000 0.5000 0.5000 [1 per cell]  2 Pd 2.96
Pd: 0.5000 0.5000 0.0000 [1 per cell]  2 Sr 2.96, 4 K 3.20